No. 1
The following is a DFT calculation (PBE-GGA) of a relaxed structure of ZnW3CN. Values from VASP.

Calculated values
Uncorrected energy (eV per atom): -9.423
M_tot (μB/cell): 0.00

Quantum ESPRESSO input file:
```
&SYSTEM
  ibrav = 0, nat = 12, ntyp = 4
/
ATOMIC_SPECIES
Zn 65.41 Zn.upf
W 183.84 W.upf
C 12.01 C.upf
N 14.01 N.upf
CELL_PARAMETERS angstrom
2.883 0.000 0.000
-1.442 2.497 0.000
0.000 0.000 20.296
ATOMIC_POSITIONS crystal
Zn 0.000 0.000 0.247
Zn 0.000 0.000 0.753
W 0.000 0.000 0.000
W 0.000 0.000 0.500
W 0.333 0.667 0.644
W 0.333 0.667 0.864
W 0.667 0.333 0.136
W 0.667 0.333 0.356
C 0.333 0.667 0.070
C 0.667 0.333 0.930
N 0.333 0.667 0.426
N 0.667 0.333 0.574
```

=====

No. 2
The following is a DFT calculation (PBE-GGA) of a relaxed structure of YMgCu. Values from VASP.

Calculated values
Energy above the lowest structure with this stoichiometry (eV/atom): 0.178
Uncorrected energy (eV per atom): -3.949
M_tot (μB/cell): 0.45

Quantum ESPRESSO input file:
```
&SYSTEM
  ibrav = 0, nat = 9, ntyp = 3
/
ATOMIC_SPECIES
Y 88.91 Y.upf
Mg 24.30 Mg.upf
Cu 63.55 Cu.upf
CELL_PARAMETERS angstrom
6.766 0.000 0.000
-3.383 5.859 0.000
0.000 0.000 5.078
ATOMIC_POSITIONS crystal
Y 0.000 0.000 0.000
Y 0.333 0.667 0.500
Y 0.667 0.333 0.500
Mg 0.000 0.484 0.000
Mg 0.484 0.000 0.000
Mg 0.516 0.516 0.000
Cu 0.000 0.214 0.500
Cu 0.214 0.000 0.500
Cu 0.786 0.786 0.500
```

=====

No. 3
The following is a DFT calculation (PBE-GGA) of a relaxed structure of YAlZn. Values from VASP.

Calculated values
Uncorrected energy (eV per atom): -4.302
M_tot (μB/cell): 0.26

Quantum ESPRESSO input file:
```
&SYSTEM
  ibrav = 0, nat = 6, ntyp = 3
/
ATOMIC_SPECIES
Y 88.91 Y.upf
Al 26.98 Al.upf
Zn 65.41 Zn.upf
CELL_PARAMETERS angstrom
-2.235 3.592 3.850
2.235 -3.592 3.850
2.235 3.592 -3.850
ATOMIC_POSITIONS crystal
Y 0.000 0.000 0.000
Y 0.549 0.049 0.500
Al 0.144 0.361 0.783
Al 0.578 0.361 0.217
Zn 0.406 0.691 0.715
Zn 0.976 0.691 0.285
```

=====

No. 4
The following is a DFT calculation (PBE-GGA) of a relaxed structure of TmMgGa. Values from VASP.

Calculated values
Energy above the lowest structure with this stoichiometry (eV/atom): 0.720
Uncorrected energy (eV per atom): -2.772
M_tot (μB/cell): 0.00

Quantum ESPRESSO input file:
```
&SYSTEM
  ibrav = 0, nat = 3, ntyp = 3
/
ATOMIC_SPECIES
Tm 168.93 Tm.upf
Mg 24.30 Mg.upf
Ga 69.72 Ga.upf
CELL_PARAMETERS angstrom
0.000 3.427 3.427
3.427 0.000 3.427
3.427 3.427 0.000
ATOMIC_POSITIONS crystal
Tm 0.000 0.000 0.000
Mg 0.250 0.250 0.250
Ga 0.750 0.750 0.750
```

=====

No. 5
The following is a DFT calculation (PBE-GGA) of a relaxed structure of LiSiIrPb. Values from VASP.

Calculated values
Energy above the lowest structure with this stoichiometry (eV/atom): 0.202
Uncorrected energy (eV per atom): -4.777
M_tot (μB/cell): 0.01

Quantum ESPRESSO input file:
```
&SYSTEM
  ibrav = 0, nat = 4, ntyp = 4
/
ATOMIC_SPECIES
Li 6.94 Li.upf
Si 28.09 Si.upf
Ir 192.22 Ir.upf
Pb 207.20 Pb.upf
CELL_PARAMETERS angstrom
0.000 3.230 3.230
3.230 0.000 3.230
3.230 3.230 0.000
ATOMIC_POSITIONS crystal
Li 0.000 0.000 0.000
Si 0.500 0.500 0.500
Ir 0.750 0.750 0.750
Pb 0.250 0.250 0.250
```

=====

No. 6
The following is a DFT calculation (PBE-GGA) of a relaxed structure of Ba2InTcN6. Values from VASP.

Calculated values
Uncorrected energy (eV per atom): -6.294
M_tot (μB/cell): 0.28

Quantum ESPRESSO input file:
```
&SYSTEM
  ibrav = 0, nat = 10, ntyp = 4
/
ATOMIC_SPECIES
Ba 137.33 Ba.upf
In 114.82 In.upf
Tc 98.00 Tc.upf
N 14.01 N.upf
CELL_PARAMETERS angstrom
-2.959 2.959 4.186
2.959 -2.959 4.186
2.959 2.959 -4.186
ATOMIC_POSITIONS crystal
Ba 0.250 0.750 0.500
Ba 0.750 0.250 0.500
In 0.000 0.000 0.000
Tc 0.500 0.500 0.000
N 0.260 0.729 0.989
N 0.265 0.265 0.000
N 0.271 0.260 0.531
N 0.729 0.740 0.469
N 0.735 0.735 0.000
N 0.740 0.271 0.011
```

=====

No. 7
The following is a DFT calculation (PBE-GGA) of a relaxed structure of ZrFeSbOs. Values from VASP.

Calculated values
Energy above the lowest structure with this stoichiometry (eV/atom): 0.340
Uncorrected energy (eV per atom): -7.819
M_tot (μB/cell): 3.63

Quantum ESPRESSO input file:
```
&SYSTEM
  ibrav = 0, nat = 4, ntyp = 4
/
ATOMIC_SPECIES
Zr 91.22 Zr.upf
Fe 55.84 Fe.upf
Sb 121.76 Sb.upf
Os 190.23 Os.upf
CELL_PARAMETERS angstrom
0.000 3.271 3.271
3.271 0.000 3.271
3.271 3.271 0.000
ATOMIC_POSITIONS crystal
Zr 0.000 0.000 0.000
Fe 0.500 0.500 0.500
Sb 0.250 0.250 0.250
Os 0.750 0.750 0.750
```

=====

No. 8
The following is a DFT calculation (PBE-GGA) of a relaxed structure of BaSmAgTe3. Values from VASP.

Calculated values
Uncorrected energy (eV per atom): -4.423
M_tot (μB/cell): 0.02

Quantum ESPRESSO input file:
```
&SYSTEM
  ibrav = 0, nat = 24, ntyp = 4
/
ATOMIC_SPECIES
Ba 137.33 Ba.upf
Sm 150.36 Sm.upf
Ag 107.87 Ag.upf
Te 127.60 Te.upf
CELL_PARAMETERS angstrom
11.632 0.000 0.000
0.000 4.559 0.000
0.000 0.000 15.174
ATOMIC_POSITIONS crystal
Ba 0.241 0.250 0.005
Ba 0.259 0.750 0.505
Ba 0.741 0.250 0.495
Ba 0.759 0.750 0.995
Sm 0.010 0.750 0.749
Sm 0.490 0.250 0.249
Sm 0.510 0.750 0.751
Sm 0.990 0.250 0.251
Ag 0.245 0.750 0.220
Ag 0.255 0.250 0.720
Ag 0.745 0.750 0.280
Ag 0.755 0.250 0.780
Te 0.047 0.750 0.111
Te 0.062 0.250 0.608
Te 0.241 0.250 0.331
Te 0.259 0.750 0.831
Te 0.438 0.750 0.108
Te 0.453 0.250 0.611
Te 0.547 0.750 0.389
Te 0.562 0.250 0.892
Te 0.741 0.250 0.169
Te 0.759 0.750 0.669
Te 0.938 0.750 0.392
Te 0.953 0.250 0.889
```

=====

No. 9
The following is a DFT calculation (PBE-GGA) of a relaxed structure of BeTcNiSn. Values from VASP.

Calculated values
Energy above the lowest structure with this stoichiometry (eV/atom): 0.000
Uncorrected energy (eV per atom): -5.848
M_tot (μB/cell): 0.00

Quantum ESPRESSO input file:
```
&SYSTEM
  ibrav = 0, nat = 4, ntyp = 4
/
ATOMIC_SPECIES
Be 9.01 Be.upf
Tc 98.00 Tc.upf
Ni 58.69 Ni.upf
Sn 118.71 Sn.upf
CELL_PARAMETERS angstrom
0.000 3.017 3.017
3.017 0.000 3.017
3.017 3.017 0.000
ATOMIC_POSITIONS crystal
Be 0.000 0.000 0.000
Tc 0.250 0.250 0.250
Ni 0.750 0.750 0.750
Sn 0.500 0.500 0.500
```

=====

No. 10
The following is a DFT calculation (PBE-GGA) of a relaxed structure of ErSCl. Values from VASP.

Calculated values
Uncorrected energy (eV per atom): -5.667
M_tot (μB/cell): 0.01

Quantum ESPRESSO input file:
```
&SYSTEM
  ibrav = 0, nat = 12, ntyp = 3
/
ATOMIC_SPECIES
Er 167.26 Er.upf
S 32.06 S.upf
Cl 35.45 Cl.upf
CELL_PARAMETERS angstrom
6.591 0.000 0.000
0.000 6.631 0.000
-1.260 0.000 6.618
ATOMIC_POSITIONS crystal
Er 0.188 0.044 0.294
Er 0.188 0.456 0.794
Er 0.812 0.544 0.206
Er 0.812 0.956 0.706
S 0.063 0.742 0.511
S 0.063 0.758 0.011
S 0.937 0.242 0.989
S 0.937 0.258 0.489
Cl 0.435 0.162 0.665
Cl 0.435 0.338 0.165
Cl 0.565 0.662 0.835
Cl 0.565 0.838 0.335
```

=====

No. 11
The following is a DFT calculation (PBE-GGA) of a relaxed structure of PrNd2Cu2Si4Ir2. Values from VASP.

Calculated values
Uncorrected energy (eV per atom): -6.386
M_tot (μB/cell): 0.01

Quantum ESPRESSO input file:
```
&SYSTEM
  ibrav = 0, nat = 11, ntyp = 5
/
ATOMIC_SPECIES
Pr 140.91 Pr.upf
Nd 144.24 Nd.upf
Cu 63.55 Cu.upf
Si 28.09 Si.upf
Ir 192.22 Ir.upf
CELL_PARAMETERS angstrom
-2.065 2.070 12.116
2.065 -2.070 12.116
2.065 2.070 -12.116
ATOMIC_POSITIONS crystal
Pr 0.000 0.000 0.000
Nd 0.146 0.646 0.500
Nd 0.854 0.354 0.500
Cu 0.403 0.903 0.500
Cu 0.597 0.097 0.500
Si 0.304 0.804 0.500
Si 0.450 0.450 0.000
Si 0.550 0.550 0.000
Si 0.696 0.196 0.500
Ir 0.249 0.249 0.000
Ir 0.751 0.751 0.000
```

=====

No. 12
The following is a DFT calculation (PBE-GGA) of a relaxed structure of FeSi17Ge13P. Values from VASP.

Calculated values
Energy above the lowest structure with this stoichiometry (eV/atom): 0.000
Uncorrected energy (eV per atom): -5.149
M_tot (μB/cell): 0.01

Quantum ESPRESSO input file:
```
&SYSTEM
  ibrav = 0, nat = 32, ntyp = 4
/
ATOMIC_SPECIES
Fe 55.84 Fe.upf
Si 28.09 Si.upf
Ge 72.64 Ge.upf
P 30.97 P.upf
CELL_PARAMETERS angstrom
5.535 0.000 0.000
0.000 3.924 0.000
-0.007 0.000 31.199
ATOMIC_POSITIONS crystal
Fe 0.000 0.000 0.000
Si 0.206 0.500 0.628
Si 0.213 0.500 0.123
Si 0.216 0.500 0.377
Si 0.460 0.500 0.944
Si 0.461 0.500 0.185
Si 0.465 0.500 0.687
Si 0.466 0.500 0.438
Si 0.702 0.000 0.186
Si 0.705 0.000 0.439
Si 0.707 0.000 0.688
Si 0.715 0.000 0.948
Si 0.716 0.000 0.814
Si 0.729 0.000 0.053
Si 0.952 0.000 0.247
Si 0.952 0.000 0.750
Si 0.955 0.000 0.500
Si 0.966 0.000 0.628
Ge 0.203 0.500 0.247
Ge 0.205 0.500 0.499
Ge 0.205 0.500 0.749
Ge 0.215 0.500 0.880
Ge 0.453 0.500 0.313
Ge 0.454 0.500 0.564
Ge 0.463 0.500 0.059
Ge 0.464 0.500 0.814
Ge 0.716 0.000 0.312
Ge 0.718 0.000 0.564
Ge 0.944 0.000 0.880
Ge 0.956 0.000 0.122
Ge 0.966 0.000 0.377
P 0.180 0.500 0.000
```